Li2NpVF8 | Alexandria | PBE+U | optimized geometry; calculated volume = 13.157 Å³/atom; uncorrected energy = -6.33 eV/atom
1.0
4.789 0.066 -0.003
0.091 4.789 -0.006
0.005 0.008 6.886
F Li V Np
8 2 1 1
Direct
0.798 0.202 0.233
0.707 0.707 0.000
0.202 0.798 0.233
0.202 0.798 0.767
0.312 0.311 0.500
0.688 0.689 0.500
0.293 0.293 0.000
0.798 0.202 0.767
0.500 0.500 0.201
0.500 0.500 0.799
0.000 0.000 0.000
0.000 0.000 0.500